Record 1
The following is a DFT calculation (PBE) of an optimized crystal structure of PmScPb.

Its total energy is -32.4 eV/cell. The total magnetic moment is 0.067 μB/atom. Its density of states at the Fermi level is 1.520 states/eV per atom. Its space group is P4/nmm. The calculation puts the energy relative to the elements at -0.463 eV per atom.

```
6
Lattice="4.515 0.000 0.000 0.000 4.515 0.000 0.000 0.000 8.438" Properties=species:S:1:pos:R:3 pbc="T T T"
Pm 1.129 1.129 1.315
Pm 3.386 3.386 7.123
Sc 1.129 3.386 4.219
Sc 3.386 1.129 4.219
Pb 1.129 1.129 6.403
Pb 3.386 3.386 2.034
```



Record 2
The following is a DFT calculation (PBE) of an optimized crystal structure of PmSc2Pb.

Its total energy is -44.2 eV/cell. The total magnetic moment is 0.001 μB/atom. Its density of states at the Fermi level is 1.585 states/eV per atom. Its space group is Cmcm. The calculation puts the energy relative to the elements at -0.240 eV per atom.

```
8
Lattice="2.117 -6.053 0.000 2.117 6.053 0.000 0.000 0.000 8.762" Properties=species:S:1:pos:R:3 pbc="T T T"
Pm 2.117 5.412 6.572
Pm 2.117 -5.412 2.191
Sc 2.117 1.603 4.836
Sc 2.117 1.603 8.308
Sc 2.117 -1.603 0.454
Sc 2.117 -1.603 3.927
Pb 2.117 3.174 2.191
Pb 2.117 -3.174 6.572
```



Record 3
The following is a DFT calculation (PBE) of an optimized crystal structure of Pm2ScPb3.

Its total energy is -59.2 eV/cell. The total magnetic moment is 0.000 μB/atom. Its density of states at the Fermi level is 0.935 states/eV per atom. Its space group is Cmcm. The calculation puts the energy relative to the elements at -0.439 eV per atom.

```
12
Lattice="8.153 -3.232 0.000 8.153 3.232 0.000 0.000 0.000 6.733" Properties=species:S:1:pos:R:3 pbc="T T T"
Pm 5.490 1.808 5.050
Pm 10.816 1.808 5.050
Pm 5.490 -1.808 1.683
Pm 10.816 -1.808 1.683
Sc 8.153 0.000 0.000
Sc 8.153 0.000 3.366
Pb 0.000 0.000 0.000
Pb 0.000 0.000 3.366
Pb 5.874 1.372 1.683
Pb 10.432 1.372 1.683
Pb 5.874 -1.372 5.050
Pb 10.432 -1.372 5.050
```



Record 4
The following is a DFT calculation (PBE) of an optimized crystal structure of PmSmScPb.

Its total energy is -19.9 eV/cell. The total magnetic moment is 0.000 μB/atom. Its density of states at the Fermi level is 1.845 states/eV per atom. Its space group is F-43m. The calculation puts the energy relative to the elements at -0.094 eV per atom.

```
4
Lattice="0.000 3.827 3.827 3.827 0.000 3.827 3.827 3.827 0.000" Properties=species:S:1:pos:R:3 pbc="T T T"
Pm 0.000 0.000 0.000
Sm 5.741 5.741 5.741
Sc 1.914 1.914 1.914
Pb 3.827 3.827 3.827
```



Record 5
The following is a DFT calculation (PBE) of an optimized crystal structure of TbPmScPb.

Its total energy is -19.8 eV/cell. The total magnetic moment is 0.009 μB/atom. Its density of states at the Fermi level is 1.918 states/eV per atom. Its space group is F-43m. The calculation puts the energy relative to the elements at -0.084 eV per atom.

```
4
Lattice="0.000 3.804 3.804 3.804 0.000 3.804 3.804 3.804 0.000" Properties=species:S:1:pos:R:3 pbc="T T T"
Tb 0.000 0.000 0.000
Pm 5.705 5.705 5.705
Sc 3.804 3.804 3.804
Pb 1.902 1.902 1.902
```



Record 6
The following is a DFT calculation (PBE) of an optimized crystal structure of PmScZnPb.

Its total energy is -17.4 eV/cell. The total magnetic moment is 0.000 μB/atom. Its density of states at the Fermi level is 0.741 states/eV per atom. Its space group is F-43m. The calculation puts the energy relative to the elements at -0.342 eV per atom.

```
4
Lattice="0.000 3.659 3.659 3.659 0.000 3.659 3.659 3.659 0.000" Properties=species:S:1:pos:R:3 pbc="T T T"
Pm 0.000 0.000 0.000
Sc 3.659 3.659 3.659
Zn 5.489 5.489 5.489
Pb 1.830 1.830 1.830
```